Record 1
Entry from Alexandria via LeMat-Bulk: a relaxed structure of RbPBrO2 (PBEsol).

Its density of states at the Fermi level is 3.5 states/eV per cell. As for the density: 4.28 g/cm3. As for the total moment: 0.89 μB/f.u. For the total energy, the calculation gives -3.38 eV/atom. The calculation puts the energy relative to the elements, uncorrected at 461 meV/atom.

The structure belongs to space group P4/mmm (No. 123); the cell edges are 4.3488, 4.3488 and 4.6832 Å and the angles 90.00°, 90.00° and 90.00°. The distinct sites, in fractional coordinates, are Rb at (0.0000, 0.0000, 0.0000), P at (0.5000, 0.5000, 0.0000), Br at (0.5000, 0.5000, 0.5000) and O at (0.0000, 0.5000, 0.5000).

Record 2
Entry from Alexandria via LeMat-Bulk: a relaxed structure of SnPBrO2 (PBEsol).

Its density of states at the Fermi level is 1.4 states/eV per cell. As for the density: 5.53 g/cm3. As for the total moment: 0.00 μB/f.u. For the total energy, the calculation gives -4.09 eV/atom. The calculation puts the energy relative to the elements, uncorrected at 391 meV/atom.

The structure belongs to space group P4/mmm (No. 123); the cell edges are 3.9851, 3.9851 and 4.9452 Å and the angles 90.00°, 90.00° and 90.00°. The distinct sites, in fractional coordinates, are Sn at (0.0000, 0.0000, 0.0000), P at (0.5000, 0.5000, 0.0000), Br at (0.5000, 0.5000, 0.5000) and O at (0.0000, 0.5000, 0.5000).

Record 3
Entry from Alexandria via LeMat-Bulk: a relaxed structure of Sr5P3BrO12 (PBEsol).

Its density of states at the Fermi level is 0.0 states/eV per cell. As for the density: 4.34 g/cm3. As for the total moment: 0.00 μB/f.u. For the total energy, the calculation gives -7.26 eV/atom. The calculation puts the energy relative to the elements, uncorrected at -2904 meV/atom.

The structure belongs to space group P6_3/m (No. 176); the cell edges are 9.9465, 9.9465 and 7.1736 Å and the angles 90.00°, 90.00° and 120.00°. The distinct sites, in fractional coordinates, are Sr at (0.0060, 0.2620, 0.2500), Sr at (0.3333, 0.6667, 0.0018), P at (0.0371, 0.4089, 0.7500), Br at (0.0000, 0.0000, 0.0000), O at (0.0917, 0.3583, 0.5747), O at (0.1248, 0.5899, 0.7500) and O at (0.1415, 0.6585, 0.2500).

Record 4
Entry from Alexandria via LeMat-Bulk: a relaxed structure of TaP2BrO (PBEsol).

Its density of states at the Fermi level is 3.4 states/eV per cell. As for the density: 5.99 g/cm3. As for the total moment: 0.00 μB/f.u. For the total energy, the calculation gives -6.59 eV/atom. The calculation puts the energy relative to the elements, uncorrected at -336 meV/atom.

The structure belongs to space group P4/mmm (No. 123); the cell edges are 4.9268, 4.9268 and 3.8671 Å and the angles 90.00°, 90.00° and 90.00°. The distinct sites, in fractional coordinates, are Ta at (0.0000, 0.0000, 0.0000), P at (0.0000, 0.5000, 0.0000), Br at (0.5000, 0.5000, 0.5000) and O at (0.0000, 0.0000, 0.5000).

Record 5
Entry from Alexandria via LeMat-Bulk: a relaxed structure of TeP2BrO (PBEsol).

Its density of states at the Fermi level is 3.4 states/eV per cell. As for the density: 5.08 g/cm3. As for the total moment: 0.00 μB/f.u. For the total energy, the calculation gives -3.58 eV/atom. The calculation puts the energy relative to the elements, uncorrected at 869 meV/atom.

The structure belongs to space group P4/mmm (No. 123); the cell edges are 4.8881, 4.8881 and 3.9047 Å and the angles 90.00°, 90.00° and 90.00°. The distinct sites, in fractional coordinates, are Te at (0.0000, 0.0000, 0.0000), P at (0.0000, 0.5000, 0.5000), Br at (0.5000, 0.5000, 0.5000) and O at (0.5000, 0.5000, 0.0000).

Record 6
Entry from Alexandria via LeMat-Bulk: a relaxed structure of PbBrO2 (PBEsol).

Its density of states at the Fermi level is 13.1 states/eV per cell. As for the density: 7.24 g/cm3. As for the total moment: 1.00 μB/f.u. For the total energy, the calculation gives -4.22 eV/atom. The calculation puts the energy relative to the elements, uncorrected at -125 meV/atom.

The structure belongs to space group I-42d (No. 122); the cell edges are 6.7227, 6.7227 and 6.4775 Å and the angles 90.00°, 90.00° and 90.00°. The distinct sites, in fractional coordinates, are Pb at (0.0000, 0.0000, 0.0000), Br at (0.0000, 0.0000, 0.5000) and O at (0.1458, 0.2500, 0.1250).